No. 1
## MnZnPb2 (GGA-PBE)

Data for MnZnPb2 after structural relaxation.

a b c (Å): 7.9876 5.1844 3.4391
angles (deg): 90.70 63.49 128.48
Last column: nearest neighbours and their distance in Å.
Sites, in units of the cell vectors:
Zn 0.0000 0.5000 0.5000  8 Pb 3.09-3.13, 2 Zn 3.44
Pb 0.5000 0.0000 0.5000  4 Zn 3.09-3.13, 4 Mn 3.09-3.13, 2 Pb 3.44
Pb 0.0000 0.0000 0.0000  4 Mn 3.09-3.13, 4 Zn 3.09-3.13, 2 Pb 3.44
Mn 0.5000 0.5000 0.0000  8 Pb 3.09-3.13, 2 Mn 3.44

Total magnetization in μB/cell: 4.02
Total energy in eV for the cell shown: -16.5


No. 2
## MnZnPb2 (GGA-PBE)

Data for MnZnPb2 after structural relaxation.

a b c (Å): 4.1920 4.0523 5.6893
angles (deg): 69.31 90.00 90.00
Last column: nearest neighbours and their distance in Å.
Sites, in units of the cell vectors:
Pb 0.0000 0.9812 0.9107  4 Mn 2.99-3.00, 3 Zn 3.01-3.08
Pb 0.5000 0.2733 0.3316  3 Mn 2.93-3.14, 4 Zn 3.01-3.02
Zn 0.0000 0.6992 0.4770  2 Mn 2.65
Mn 0.5000 0.5463 0.7808  2 Zn 2.65, 1 Pb 2.93

Total magnetization in μB/cell: 3.48
Total energy in eV for the cell shown: -16.9